(1)
Material: Ca2FeRe
Method: DFT, SCAN
State: single point on PBEsol structure

Geometry as CIF:
```
data_Ca2FeRe
_cell_length_a 2.730
_cell_length_b 4.740
_cell_length_c 5.740
_cell_angle_alpha 90.00
_cell_angle_beta 90.00
_cell_angle_gamma 90.00
_symmetry_space_group_name_H-M 'P m m m'
_symmetry_Int_Tables_number 47
loop_
_symmetry_equiv_pos_as_xyz
'x,y,z'
'-x,-y,-z'
'-x,-y,z'
'x,y,-z'
'x,-y,-z'
'-x,y,z'
'-x,y,-z'
'x,-y,z'
loop_
_atom_site_label
_atom_site_type_symbol
_atom_site_fract_x
_atom_site_fract_y
_atom_site_fract_z
Ca1 Ca 0.000 0.000 0.250
Fe1 Fe 0.500 0.500 0.000
Re1 Re 0.500 0.500 0.500
```

Properties
Magnetization in μB/f.u.: 2.442
Excess energy over the best structure of this formula in the dataset in eV/atom: 0.403
DFT total energy in eV per atom: -26.290
Energy relative to the elements in meV per atom: 848



(2)
Material: ScMnCu2
Method: DFT, SCAN
State: single point on PBEsol structure

Geometry as CIF:
```
data_ScMnCu2
_cell_length_a 2.8055
_cell_length_b 2.8055
_cell_length_c 25.0383
_cell_angle_alpha 90.00
_cell_angle_beta 90.00
_cell_angle_gamma 120.00
_symmetry_space_group_name_H-M 'R 3 m'
_symmetry_Int_Tables_number 160
_symmetry_space_group_name_Hall 'R 3 -2"'
loop_
_atom_site_label
_atom_site_type_symbol
_atom_site_fract_x
_atom_site_fract_y
_atom_site_fract_z
Sc1 Sc 0.0000 0.0000 0.0000
Mn1 Mn 0.0000 0.0000 0.7555
Cu1 Cu 0.0000 0.0000 0.2434
Cu2 Cu 0.0000 0.0000 0.5008
```

Properties
Magnetization in μB/f.u.: 3.278
DFT total energy in eV per atom: -15.540
Energy relative to the elements in meV per atom: 183



(3)
Material: CdInAg2
Method: DFT, SCAN
State: single point on PBEsol structure

Geometry as CIF:
```
data_CdInAg2
_cell_length_a 3.446
_cell_length_b 4.612
_cell_length_c 9.424
_cell_angle_alpha 90.00
_cell_angle_beta 90.00
_cell_angle_gamma 90.00
_symmetry_space_group_name_H-M 'I m m 2'
_symmetry_Int_Tables_number 44
loop_
_symmetry_equiv_pos_as_xyz
'x,y,z'
'-x,-y,z'
'-x,y,z'
'x,-y,z'
'x+1/2,y+1/2,z+1/2'
'-x+1/2,-y+1/2,z+1/2'
'-x+1/2,y+1/2,z+1/2'
'x+1/2,-y+1/2,z+1/2'
loop_
_atom_site_label
_atom_site_type_symbol
_atom_site_fract_x
_atom_site_fract_y
_atom_site_fract_z
Cd1 Cd 0.000 0.000 0.000
In1 In 0.000 0.500 0.766
Ag1 Ag 0.000 0.000 0.515
Ag2 Ag 0.000 0.500 0.252
```

Properties
Magnetization in μB/f.u.: 0.000
DFT total energy in eV per atom: -31.623
Energy relative to the elements in meV per atom: 11



(4)
Material: Rb3CrF7
Method: DFT, SCAN
State: single point on PBEsol structure

Geometry as CIF:
```
data_Rb3CrF7
_cell_length_a 8.000
_cell_length_b 8.000
_cell_length_c 5.842
_cell_angle_alpha 90.00
_cell_angle_beta 90.00
_cell_angle_gamma 90.00
_symmetry_space_group_name_H-M 'P 4/m b m'
_symmetry_Int_Tables_number 127
_symmetry_space_group_name_Hall '-P 4 2ab'
loop_
_atom_site_label
_atom_site_type_symbol
_atom_site_fract_x
_atom_site_fract_y
_atom_site_fract_z
Rb1 Rb 0.000 0.000 0.000
Rb2 Rb 0.190 0.310 0.500
Cr1 Cr 0.000 0.500 0.000
F1 F 0.000 0.000 0.500
F2 F 0.112 0.612 0.224
F3 F 0.162 0.338 0.000
```

Properties
Magnetization in μB/f.u.: 1.919
Raw formation energy in eV per atom: -2.97
DFT total energy in eV per atom: -12.551



(5)
Material: LaIrOs2
Method: DFT, SCAN
State: single point on PBEsol structure

Geometry as CIF:
```
data_LaIrOs2
_cell_length_a 9.088
_cell_length_b 2.830
_cell_length_c 5.769
_cell_angle_alpha 90.00
_cell_angle_beta 100.58
_cell_angle_gamma 90.00
_symmetry_space_group_name_H-M 'C 1 m 1'
_symmetry_Int_Tables_number 8
loop_
_symmetry_equiv_pos_as_xyz
'x,y,z'
'x,-y,z'
'x+1/2,y+1/2,z'
'x+1/2,-y+1/2,z'
loop_
_atom_site_label
_atom_site_type_symbol
_atom_site_fract_x
_atom_site_fract_y
_atom_site_fract_z
La1 La 0.000 0.000 0.000
Ir1 Ir 0.233 0.000 0.703
Os1 Os 0.253 0.500 0.342
Os2 Os 0.492 0.000 0.479
```

Properties
Magnetization in μB/f.u.: 0.000
Excess energy over the best structure of this formula in the dataset in eV/atom: 0.000
DFT total energy in eV per atom: -64.187
Energy relative to the elements in meV per atom: 304



(6)
Material: LiZn2Ag
Method: DFT, SCAN
State: single point on PBEsol structure

Geometry as CIF:
```
data_LiZn2Ag
_cell_length_a 2.930
_cell_length_b 2.930
_cell_length_c 6.731
_cell_angle_alpha 90.00
_cell_angle_beta 90.00
_cell_angle_gamma 90.00
_symmetry_space_group_name_H-M 'P 4 m m'
_symmetry_Int_Tables_number 99
loop_
_symmetry_equiv_pos_as_xyz
'x,y,z'
'-y,x,z'
'-x,-y,z'
'y,-x,z'
'-x,y,z'
'y,x,z'
'x,-y,z'
'-y,-x,z'
loop_
_atom_site_label
_atom_site_type_symbol
_atom_site_fract_x
_atom_site_fract_y
_atom_site_fract_z
Li1 Li 0.000 0.000 0.000
Zn1 Zn 0.000 0.000 0.483
Zn2 Zn 0.500 0.500 0.240
Ag1 Ag 0.500 0.500 0.743
```

Properties
Magnetization in μB/f.u.: 0.000
DFT total energy in eV per atom: -15.322
Energy relative to the elements in meV per atom: -126



(7)
Material: CsCrGeMo2
Method: DFT, SCAN
State: single point on PBEsol structure

Geometry as CIF:
```
data_CsCrGeMo2
_cell_length_a 4.821
_cell_length_b 4.821
_cell_length_c 6.000
_cell_angle_alpha 90.00
_cell_angle_beta 90.00
_cell_angle_gamma 90.00
_symmetry_space_group_name_H-M 'P 4/m m m'
_symmetry_Int_Tables_number 123
_symmetry_space_group_name_Hall '-P 4 2'
loop_
_atom_site_label
_atom_site_type_symbol
_atom_site_fract_x
_atom_site_fract_y
_atom_site_fract_z
Cs1 Cs 0.000 0.000 0.000
Cr1 Cr 0.500 0.500 0.000
Ge1 Ge 0.000 0.000 0.500
Mo1 Mo 0.000 0.500 0.500
```

Properties
Magnetization in μB/f.u.: 1.186
DFT total energy in eV per atom: -27.349
Energy relative to the elements in meV per atom: 1662



(8)
Material: LaMgZr
Method: DFT, SCAN
State: single point on PBEsol structure

Geometry as CIF:
```
data_LaMgZr
_cell_length_a 7.061
_cell_length_b 7.061
_cell_length_c 7.061
_cell_angle_alpha 90.00
_cell_angle_beta 90.00
_cell_angle_gamma 90.00
_symmetry_space_group_name_H-M 'F -4 3 m'
_symmetry_Int_Tables_number 216
_symmetry_space_group_name_Hall 'F -4 2 3'
loop_
_atom_site_label
_atom_site_type_symbol
_atom_site_fract_x
_atom_site_fract_y
_atom_site_fract_z
La1 La 0.000 0.000 0.000
Mg1 Mg 0.000 0.000 0.500
Zr1 Zr 0.250 0.250 0.250
```

Properties
Magnetization in μB/f.u.: 1.312
Excess energy over the best structure of this formula in the dataset in eV/atom: 0.681
DFT total energy in eV per atom: -25.509
Energy relative to the elements in meV per atom: 751